1.
Material: Si3Br
Method: DFT, PBE
State: relaxed

Structure (POSCAR):
```
Si3Br
1.0
3.4863 0.0000 0.0000
0.0000 3.4861 0.0000
0.0000 0.0000 7.0416
Si Br
3 1
direct
0.5000 0.0000 0.4744 Si
0.5000 0.5000 0.7461 Si
0.0000 0.5000 0.4746 Si
0.0000 0.0000 0.9716 Br
```

Output
- polymorph energy (0 for the lowest one) (meV per atom) = 141
- space group = P4mm (99)
- raw formation energy (meV/atom) = 399
- volume (Å³ per cell) = 86

2.
Material: KTe2OsI
Method: DFT, PBE
State: relaxed

Structure (POSCAR):
```
KTe2OsI
1.0
-1.7873 -4.3639 2.2438
4.7908 -2.0683 -0.2065
1.2393 2.3212 5.5015
I Te Os K
1 2 1 1
direct
0.0000 0.0000 0.5000 I
0.0000 0.5000 0.0000 Te
0.5000 0.0000 0.0000 Te
0.0000 0.0000 0.0000 Os
0.5000 0.5000 0.5000 K
```

Output
- polymorph energy (0 for the lowest one) (meV per atom) = 0
- space group = P4/mmm (123)
- raw formation energy (meV/atom) = 85
- volume (Å³ per cell) = 166

no.,calculated density (g/cm3)
1,3.2
2,6.1